VASP calculation (PBE with a Hubbard U) on MoRu3O after structural relaxation.

As for the crystal system: cubic. The value obtained for the total energy is -5.525 eV per atom.

```
data_MoRu3O
_cell_length_a 4.700
_cell_length_b 4.700
_cell_length_c 4.700
_cell_angle_alpha 90.00
_cell_angle_beta 90.00
_cell_angle_gamma 90.00
_symmetry_space_group_name_H-M 'P m -3 m'
_symmetry_Int_Tables_number 221
_symmetry_space_group_name_Hall '-P 4 2 3'
loop_
_atom_site_label
_atom_site_type_symbol
_atom_site_fract_x
_atom_site_fract_y
_atom_site_fract_z
_atom_site_occupancy
Mo1 Mo 0.000 0.000 0.000 1
Ru1 Ru 0.000 0.000 0.500 1
O1 O 0.500 0.500 0.500 1
```


VASP calculation (PBE with a Hubbard U) on MoRuO2 after structural relaxation.

As for the crystal system: tetragonal. The value obtained for the total energy is -6.858 eV per atom.

```
data_MoRuO2
_cell_length_a 4.709
_cell_length_b 4.709
_cell_length_c 9.766
_cell_angle_alpha 90.00
_cell_angle_beta 90.00
_cell_angle_gamma 90.00
_symmetry_space_group_name_H-M 'I -4 2 d'
_symmetry_Int_Tables_number 122
_symmetry_space_group_name_Hall 'I -4 2bw'
loop_
_atom_site_label
_atom_site_type_symbol
_atom_site_fract_x
_atom_site_fract_y
_atom_site_fract_z
_atom_site_occupancy
Mo1 Mo 0.000 0.000 0.000 1
Ru1 Ru 0.000 0.000 0.500 1
O1 O 0.240 0.250 0.125 1
```


VASP calculation (PBE with a Hubbard U) on MoRu2O6 after structural relaxation.

As for the crystal system: trigonal. The value obtained for the total energy is -7.310 eV per atom.

```
data_MoRu2O6
_cell_length_a 8.4556
_cell_length_b 8.4556
_cell_length_c 4.7245
_cell_angle_alpha 90.00
_cell_angle_beta 90.00
_cell_angle_gamma 120.00
_symmetry_space_group_name_H-M 'P 3 2 1'
_symmetry_Int_Tables_number 150
loop_
_symmetry_equiv_pos_as_xyz
'x,y,z'
'-y,x-y,z'
'-x+y,-x,z'
'y,x,-z'
'x-y,-y,-z'
'-x,-x+y,-z'
loop_
_atom_site_label
_atom_site_type_symbol
_atom_site_fract_x
_atom_site_fract_y
_atom_site_fract_z
_atom_site_occupancy
Mo1 Mo 0.0000 0.0000 0.0000 1
Mo2 Mo 0.3333 0.6667 0.4977 1
Ru1 Ru 0.0000 0.3247 0.0000 1
Ru2 Ru 0.0000 0.6598 0.5000 1
O1 O 0.0994 0.8775 0.2487 1
O2 O 0.1132 0.5464 0.2470 1
O3 O 0.2152 0.4457 0.7443 1
```


VASP calculation (PBE with a Hubbard U) on MoRu3O after structural relaxation.

As for the crystal system: cubic. The value obtained for the total energy is -7.494 eV per atom.

```
data_MoRu3O
_cell_length_a 4.100
_cell_length_b 4.100
_cell_length_c 4.100
_cell_angle_alpha 90.00
_cell_angle_beta 90.00
_cell_angle_gamma 90.00
_symmetry_space_group_name_H-M 'P m -3 m'
_symmetry_Int_Tables_number 221
_symmetry_space_group_name_Hall '-P 4 2 3'
loop_
_atom_site_label
_atom_site_type_symbol
_atom_site_fract_x
_atom_site_fract_y
_atom_site_fract_z
_atom_site_occupancy
Mo1 Mo 0.000 0.000 0.000 1
Ru1 Ru 0.000 0.500 0.500 1
O1 O 0.500 0.500 0.500 1
```


VASP calculation (PBE with a Hubbard U) on Mo2RuO8 after structural relaxation.

As for the crystal system: monoclinic. The value obtained for the total energy is -6.901 eV per atom.

```
data_Mo2RuO8
_cell_length_a 8.796
_cell_length_b 9.861
_cell_length_c 5.153
_cell_angle_alpha 90.00
_cell_angle_beta 96.91
_cell_angle_gamma 90.00
_symmetry_space_group_name_H-M 'C 1 2/m 1'
_symmetry_Int_Tables_number 12
loop_
_symmetry_equiv_pos_as_xyz
'x,y,z'
'-x,-y,-z'
'-x,y,-z'
'x,-y,z'
'x+1/2,y+1/2,z'
'-x+1/2,-y+1/2,-z'
'-x+1/2,y+1/2,-z'
'x+1/2,-y+1/2,z'
loop_
_atom_site_label
_atom_site_type_symbol
_atom_site_fract_x
_atom_site_fract_y
_atom_site_fract_z
_atom_site_occupancy
Mo1 Mo 0.216 0.000 0.158 1
Ru1 Ru 0.000 0.000 0.500 1
O1 O 0.089 0.500 0.773 1
O2 O 0.126 0.141 0.319 1
O3 O 0.158 0.000 0.798 1
```


VASP calculation (PBE with a Hubbard U) on MoRuO2 after structural relaxation.

As for the crystal system: cubic. The value obtained for the total energy is -6.289 eV per atom.

```
data_MoRuO2
_cell_length_a 5.553
_cell_length_b 5.553
_cell_length_c 5.553
_cell_angle_alpha 90.00
_cell_angle_beta 90.00
_cell_angle_gamma 90.00
_symmetry_space_group_name_H-M 'F m -3 m'
_symmetry_Int_Tables_number 225
_symmetry_space_group_name_Hall '-F 4 2 3'
loop_
_atom_site_label
_atom_site_type_symbol
_atom_site_fract_x
_atom_site_fract_y
_atom_site_fract_z
_atom_site_occupancy
Mo1 Mo 0.000 0.000 0.000 1
Ru1 Ru 0.000 0.000 0.500 1
O1 O 0.250 0.250 0.250 1
```


VASP calculation (PBE with a Hubbard U) on MoRuO2 after structural relaxation.

As for the crystal system: trigonal. The value obtained for the total energy is -7.210 eV per atom.

```
data_MoRuO2
_cell_length_a 2.7524
_cell_length_b 2.7524
_cell_length_c 20.4789
_cell_angle_alpha 90.00
_cell_angle_beta 90.00
_cell_angle_gamma 120.00
_symmetry_space_group_name_H-M 'R -3 m'
_symmetry_Int_Tables_number 166
_symmetry_space_group_name_Hall '-R 3 2"'
loop_
_atom_site_label
_atom_site_type_symbol
_atom_site_fract_x
_atom_site_fract_y
_atom_site_fract_z
_atom_site_occupancy
Mo1 Mo 0.0000 0.0000 0.0000 1
Ru1 Ru 0.0000 0.0000 0.5000 1
O1 O 0.0000 0.0000 0.4022 1
```


VASP calculation (PBE with a Hubbard U) on ScMoRuO2 after structural relaxation.

As for the crystal system: tetragonal. The value obtained for the total energy is -7.149 eV per atom.

```
data_ScMoRuO2
_cell_length_a 3.878
_cell_length_b 3.878
_cell_length_c 5.076
_cell_angle_alpha 90.00
_cell_angle_beta 90.00
_cell_angle_gamma 90.00
_symmetry_space_group_name_H-M 'P 4/m m m'
_symmetry_Int_Tables_number 123
_symmetry_space_group_name_Hall '-P 4 2'
loop_
_atom_site_label
_atom_site_type_symbol
_atom_site_fract_x
_atom_site_fract_y
_atom_site_fract_z
_atom_site_occupancy
Sc1 Sc 0.000 0.000 0.000 1
Mo1 Mo 0.500 0.500 0.500 1
Ru1 Ru 0.500 0.500 0.000 1
O1 O 0.000 0.500 0.500 1
```


VASP calculation (PBE with a Hubbard U) on SiMoRuO2 after structural relaxation.

As for the crystal system: tetragonal. The value obtained for the total energy is -6.309 eV per atom.

```
data_SiMoRuO2
_cell_length_a 3.660
_cell_length_b 3.660
_cell_length_c 6.157
_cell_angle_alpha 90.00
_cell_angle_beta 90.00
_cell_angle_gamma 90.00
_symmetry_space_group_name_H-M 'P 4/m m m'
_symmetry_Int_Tables_number 123
_symmetry_space_group_name_Hall '-P 4 2'
loop_
_atom_site_label
_atom_site_type_symbol
_atom_site_fract_x
_atom_site_fract_y
_atom_site_fract_z
_atom_site_occupancy
Si1 Si 0.000 0.000 0.000 1
Mo1 Mo 0.500 0.500 0.000 1
Ru1 Ru 0.500 0.500 0.500 1
O1 O 0.000 0.500 0.500 1
```


VASP calculation (PBE with a Hubbard U) on SrMoRuO6 after structural relaxation.

As for the crystal system: monoclinic. The value obtained for the total energy is -7.018 eV per atom.

```
data_SrMoRuO6
_cell_length_a 5.292
_cell_length_b 9.285
_cell_length_c 5.330
_cell_angle_alpha 90.00
_cell_angle_beta 90.23
_cell_angle_gamma 90.00
_symmetry_space_group_name_H-M 'C 1 2 1'
_symmetry_Int_Tables_number 5
loop_
_symmetry_equiv_pos_as_xyz
'x,y,z'
'-x,y,-z'
'x+1/2,y+1/2,z'
'-x+1/2,y+1/2,-z'
loop_
_atom_site_label
_atom_site_type_symbol
_atom_site_fract_x
_atom_site_fract_y
_atom_site_fract_z
_atom_site_occupancy
Sr1 Sr 0.000 0.000 0.000 1
Mo1 Mo 0.000 0.333 0.500 1
Ru1 Ru 0.000 0.666 0.500 1
O1 O 0.123 0.498 0.301 1
O2 O 0.190 0.185 0.299 1
O3 O 0.195 0.810 0.295 1
```


VASP calculation (PBE with a Hubbard U) on TiMoRuO2 after structural relaxation.

As for the crystal system: tetragonal. The value obtained for the total energy is -6.933 eV per atom.

```
data_TiMoRuO2
_cell_length_a 3.766
_cell_length_b 3.766
_cell_length_c 6.053
_cell_angle_alpha 90.00
_cell_angle_beta 90.00
_cell_angle_gamma 90.00
_symmetry_space_group_name_H-M 'P 4/m m m'
_symmetry_Int_Tables_number 123
_symmetry_space_group_name_Hall '-P 4 2'
loop_
_atom_site_label
_atom_site_type_symbol
_atom_site_fract_x
_atom_site_fract_y
_atom_site_fract_z
_atom_site_occupancy
Ti1 Ti 0.000 0.000 0.000 1
Mo1 Mo 0.000 0.000 0.500 1
Ru1 Ru 0.500 0.500 0.000 1
O1 O 0.000 0.500 0.500 1
```


VASP calculation (PBE with a Hubbard U) on TiMo2RuO after structural relaxation.

As for the crystal system: tetragonal. The value obtained for the total energy is -5.189 eV per atom.

```
data_TiMo2RuO
_cell_length_a 4.992
_cell_length_b 4.992
_cell_length_c 4.337
_cell_angle_alpha 90.00
_cell_angle_beta 90.00
_cell_angle_gamma 90.00
_symmetry_space_group_name_H-M 'P 4/m m m'
_symmetry_Int_Tables_number 123
_symmetry_space_group_name_Hall '-P 4 2'
loop_
_atom_site_label
_atom_site_type_symbol
_atom_site_fract_x
_atom_site_fract_y
_atom_site_fract_z
_atom_site_occupancy
Ti1 Ti 0.000 0.000 0.000 1
Mo1 Mo 0.000 0.500 0.000 1
Ru1 Ru 0.000 0.000 0.500 1
O1 O 0.500 0.500 0.500 1
```